A plane-wave DFT calculation with PBE was carried out for a relaxed structure of PrFeCo.

```
data_PrFeCo
_chemical_formula_sum 'Pr1 Fe1 Co1'
_cell_length_a 3.9235
_cell_length_b 3.9235
_cell_length_c 4.3194
_cell_angle_alpha 90.00
_cell_angle_beta 90.00
_cell_angle_gamma 120.00
_space_group_name_H-M_alt 'P -6 m 2'
_space_group_IT_number 187
_space_group_name_Hall 'P -6 2'
loop_
_atom_site_label
_atom_site_fract_x
_atom_site_fract_y
_atom_site_fract_z
Pr1 0.0000 0.0000 0.0000
Fe1 0.3333 0.6667 0.5000
Co1 0.6667 0.3333 0.5000
```

Output
D(E_F)   1.58 states/eV per cell
Calculated density   7373 kg/m³
E_form   20 meV/atom
M_tot   0.767 μB/atom